The following is a PBE calculation of a relaxed structure of Tb2HoTm3, from the Alexandria database.

Calculated values
Its magnetic moment is 0.00 μB/f.u. The energy above the lowest structure with this stoichiometry is 0 meV/atom. The formation energy is 0.0232 eV/atom.

CIF file:
```
data_Tb2HoTm3
_space_group_name_H-M_alt 'C 1 2/c 1'
_space_group_IT_number 15
_space_group_name_Hall '-C 2yc'
_cell_length_a 17.2067
_cell_length_b 7.0251
_cell_length_c 6.0722
_cell_angle_alpha 90.00
_cell_angle_beta 90.13
_cell_angle_gamma 90.00
loop_
_atom_site_label
_atom_site_type_symbol
_atom_site_fract_x
_atom_site_fract_y
_atom_site_fract_z
Tb1 Tb 0.1665 0.1251 0.4165
Ho1 Ho 0.0000 0.3751 0.2500
Tm1 Tm 0.0000 0.1251 0.7500
Tm2 Tm 0.1663 0.3752 0.9170
```



The following is a PBE calculation of a relaxed structure of Sr4SN2, from the Alexandria database.

Calculated values
As for the total energy: -34.294 eV/f.u. Its magnetic moment is 0.00 μB/f.u.

CIF file:
```
data_Sr4SN2
_space_group_name_H-M_alt 'C m c m'
_space_group_IT_number 63
_space_group_name_Hall '-C 2c 2'
_cell_length_a 3.9400
_cell_length_b 13.0549
_cell_length_c 12.8621
_cell_angle_alpha 90.00
_cell_angle_beta 90.00
_cell_angle_gamma 90.00
loop_
_atom_site_label
_atom_site_type_symbol
_atom_site_fract_x
_atom_site_fract_y
_atom_site_fract_z
Sr1 Sr 0.0000 0.0000 0.0000
Sr2 Sr 0.0000 0.2669 0.1060
Sr3 Sr 0.0000 0.4440 0.7500
S1 S 0.0000 0.1082 0.7500
N1 N 0.0000 0.3627 0.5680
```